## K4LiC2O6 (PBE)

Data for an optimized crystal structure of K4LiC2O6.

Properties
* ΔE_f (raw): -1.5782 eV per atom
* SG: No. 12

Cell lengths 7.2133, 7.2133, 8.8953 Å; angles 112.98, 112.98, 50.06 degrees
With the nearest neighbours (Å) after each atom.
Fractional positions:
K (0.0000, 0.0000, 0.0000)  2 O 2.64
K (0.0000, 0.0000, 0.5000)  4 O 2.57
K (0.2735, 0.2735, 0.8630)  5 O 2.74-3.05
K (0.7265, 0.7265, 0.1370)  5 O 2.74-3.05
Li (0.5000, 0.5000, 0.5000)  4 O 2.03
C (0.3207, 0.3207, 0.2646)  3 O 1.30-1.31
C (0.6793, 0.6793, 0.7354)  3 O 1.30-1.31
O (0.1886, 0.5550, 0.3321)  1 C 1.31
O (0.2240, 0.2240, 0.1338)  1 C 1.30
O (0.4450, 0.8114, 0.6679)  1 C 1.31
O (0.5550, 0.1886, 0.3321)  1 C 1.31
O (0.7760, 0.7760, 0.8662)  1 C 1.30
O (0.8114, 0.4450, 0.6679)  1 C 1.31

## FeCoRh (PBE)

Data for an optimized crystal structure of FeCoRh.

Properties
* calculated formation energy: 413 meV per atom
* SG: No. 216
* ΔE to the lowest computed polymorph: 407 meV/atom

Cell lengths 5.6086, 5.6086, 5.6086 Å; angles 90.00, 90.00, 90.00 degrees
With the nearest neighbours (Å) after each atom.
Fractional positions:
Fe (0.0000, 0.0000, 0.0000)  4 Co 2.43
Fe (0.0000, 0.5000, 0.5000)  4 Co 2.43
Fe (0.5000, 0.0000, 0.5000)  4 Co 2.43
Fe (0.5000, 0.5000, 0.0000)  4 Co 2.43
Co (0.2500, 0.2500, 0.7500)  4 Fe 2.43, 4 Rh 2.43
Co (0.2500, 0.7500, 0.2500)  4 Fe 2.43, 4 Rh 2.43
Co (0.7500, 0.2500, 0.2500)  4 Fe 2.43, 4 Rh 2.43
Co (0.7500, 0.7500, 0.7500)  4 Fe 2.43, 4 Rh 2.43
Rh (0.0000, 0.0000, 0.5000)  4 Co 2.43
Rh (0.0000, 0.5000, 0.0000)  4 Co 2.43
Rh (0.5000, 0.0000, 0.0000)  4 Co 2.43
Rh (0.5000, 0.5000, 0.5000)  4 Co 2.43

## YLu (PBE)

Data for an optimized crystal structure of YLu.

Properties
* calculated formation energy: 42 meV per atom
* SG: No. 63

Cell lengths 3.4974, 13.0217, 5.4420 Å; angles 90.00, 90.00, 90.00 degrees
With the nearest neighbours (Å) after each atom.
Fractional positions:
Y (0.0000, 0.1700, 0.2500)  7 Lu 3.44-3.53, 6 Y 3.50-3.85
Y (0.0000, 0.8300, 0.7500)  7 Lu 3.44-3.53, 6 Y 3.50-3.85
Y (0.5000, 0.3300, 0.7500)  7 Lu 3.44-3.53, 6 Y 3.50-3.85
Y (0.5000, 0.6700, 0.2500)  7 Lu 3.44-3.53, 6 Y 3.50-3.85
Lu (0.0000, 0.4343, 0.2500)  4 Lu 3.21-3.50, 7 Y 3.44-3.53
Lu (0.0000, 0.5657, 0.7500)  4 Lu 3.21-3.50, 7 Y 3.44-3.53
Lu (0.5000, 0.0657, 0.7500)  4 Lu 3.21-3.50, 7 Y 3.44-3.53
Lu (0.5000, 0.9343, 0.2500)  4 Lu 3.21-3.50, 7 Y 3.44-3.53

## HoMnNi (PBE)

Data for an optimized crystal structure of HoMnNi.

Properties
* calculated formation energy: 166 meV per atom
* SG: No. 70

Cell lengths 7.8427, 7.0926, 5.9464 Å; angles 73.36, 60.05, 46.59 degrees
With the nearest neighbours (Å) after each atom.
Fractional positions:
Ho (0.0000, 0.0000, 0.0000)  4 Ni 2.85-2.95, 2 Ho 2.97, 4 Mn 3.04-3.15
Ho (0.0000, 0.0000, 0.5000)  4 Ni 2.85-2.95, 2 Ho 2.97, 4 Mn 3.04-3.15
Ho (0.0000, 0.5000, 0.0000)  4 Ni 2.85-2.95, 2 Ho 2.97, 4 Mn 3.04-3.15
Ho (0.5000, 0.0000, 0.0000)  4 Ni 2.85-2.95, 2 Ho 2.97, 4 Mn 3.04-3.15
Mn (0.2700, 0.4800, 0.2700)  1 Mn 2.03
Mn (0.4800, 0.2700, 0.4800)  1 Mn 2.03
Mn (0.5200, 0.7300, 0.5200)  1 Mn 2.03
Mn (0.7300, 0.5200, 0.7300)  1 Mn 2.03
Ni (0.1964, 0.1964, 0.5536)  4 Mn 2.40-2.43
Ni (0.4464, 0.4464, 0.8036)  4 Mn 2.40-2.43
Ni (0.5536, 0.5536, 0.1964)  4 Mn 2.40-2.43
Ni (0.8036, 0.8036, 0.4464)  4 Mn 2.40-2.43

Listing raw total energy for the structures above in their given order: -5.771; -7.227; -5.451; -6.343 eV/atom.